## NdAl3Si3 (GGA-PBE)

Data for an optimized crystal structure of NdAl3Si3.

POSCAR file:
```
NdAl3Si3
1.0
6.8837 0.0000 0.0000
0.0000 6.8837 0.0000
0.0000 0.0000 6.8837
Nd Al Si
2 6 6
direct
0.0000 0.0000 0.0000
0.5000 0.5000 0.5000
0.0000 0.2500 0.5000
0.0000 0.7500 0.5000
0.2500 0.5000 0.0000
0.5000 0.0000 0.2500
0.5000 0.0000 0.7500
0.7500 0.5000 0.0000
0.0000 0.5000 0.2500
0.0000 0.5000 0.7500
0.2500 0.0000 0.5000
0.5000 0.2500 0.0000
0.5000 0.7500 0.0000
0.7500 0.0000 0.5000
```

## Properties
* SG: Pm-3n
* total DFT energy (no corrections): -62.20 eV for the cell shown
* total magnetic moment: 0.0000 μB per atom